Entry 1:
Material: Ba2GaAsCl
Method: DFT, GGA-PBE
State: relaxed

```
data_Ba2GaAsCl
_space_group_name_H-M_alt 'P 4/m m m'
_space_group_IT_number 123
_space_group_name_Hall '-P 4 2'
_cell_length_a 5.963
_cell_length_b 5.963
_cell_length_c 5.090
_cell_angle_alpha 90.00
_cell_angle_beta 90.00
_cell_angle_gamma 90.00
loop_
_atom_site_label
_atom_site_fract_x
_atom_site_fract_y
_atom_site_fract_z
Ba1 0.000 0.500 0.000
Ga1 0.000 0.000 0.500
As1 0.500 0.500 0.500
Cl1 0.000 0.000 0.000
```



Entry 2:
Material: Ba6GeAs2Cl3
Method: DFT, GGA-PBE
State: relaxed

```
data_Ba6GeAs2Cl3
_space_group_name_H-M_alt 'C 1 2/m 1'
_space_group_IT_number 12
_cell_length_a 20.812
_cell_length_b 4.714
_cell_length_c 9.575
_cell_angle_alpha 90.00
_cell_angle_beta 103.11
_cell_angle_gamma 90.00
loop_
_space_group_symop_operation_xyz
'x,y,z'
'-x,-y,-z'
'-x,y,-z'
'x,-y,z'
'x+1/2,y+1/2,z'
'-x+1/2,-y+1/2,-z'
'-x+1/2,y+1/2,-z'
'x+1/2,-y+1/2,z'
loop_
_atom_site_label
_atom_site_fract_x
_atom_site_fract_y
_atom_site_fract_z
Ba1 0.005 0.000 0.247
Ba2 0.163 0.500 0.098
Ba3 0.173 0.500 0.572
Ge1 0.000 0.500 0.000
As1 0.166 0.000 0.335
Cl1 0.000 0.500 0.500
Cl2 0.169 0.000 0.834
```



Entry 3:
Material: Ba4GeAsCl2
Method: DFT, GGA-PBE
State: relaxed

```
data_Ba4GeAsCl2
_space_group_name_H-M_alt 'P 1 2/m 1'
_space_group_IT_number 10
_cell_length_a 8.302
_cell_length_b 4.676
_cell_length_c 8.332
_cell_angle_alpha 90.00
_cell_angle_beta 109.08
_cell_angle_gamma 90.00
loop_
_space_group_symop_operation_xyz
'x,y,z'
'-x,-y,-z'
'-x,y,-z'
'x,-y,z'
loop_
_atom_site_label
_atom_site_fract_x
_atom_site_fract_y
_atom_site_fract_z
Ba1 0.243 0.000 0.229
Ba2 0.248 0.500 0.764
Ge1 0.500 0.000 0.000
As1 0.000 0.500 0.000
Cl1 0.000 0.000 0.500
Cl2 0.500 0.500 0.500
```



Entry 4:
Material: Ba8As3HCl4
Method: DFT, GGA-PBE
State: relaxed

```
data_Ba8As3HCl4
_space_group_name_H-M_alt 'R -3 m'
_space_group_IT_number 166
_space_group_name_Hall '-R 3 2"'
_cell_length_a 9.3273
_cell_length_b 9.3273
_cell_length_c 22.6385
_cell_angle_alpha 90.00
_cell_angle_beta 90.00
_cell_angle_gamma 120.00
loop_
_atom_site_label
_atom_site_fract_x
_atom_site_fract_y
_atom_site_fract_z
Ba1 0.0000 0.0000 0.2456
Ba2 0.0042 0.5021 0.7556
As1 0.0000 0.5000 0.5000
H1 0.0000 0.0000 0.5000
Cl1 0.0000 0.0000 0.0000
Cl2 0.0000 0.5000 0.0000
```



Entry 5:
Material: Ba2HfAsCl
Method: DFT, GGA-PBE
State: relaxed

```
data_Ba2HfAsCl
_space_group_name_H-M_alt 'P 4/m m m'
_space_group_IT_number 123
_space_group_name_Hall '-P 4 2'
_cell_length_a 6.453
_cell_length_b 6.453
_cell_length_c 5.143
_cell_angle_alpha 90.00
_cell_angle_beta 90.00
_cell_angle_gamma 90.00
loop_
_atom_site_label
_atom_site_fract_x
_atom_site_fract_y
_atom_site_fract_z
Ba1 0.000 0.500 0.000
Hf1 0.000 0.000 0.500
As1 0.500 0.500 0.000
Cl1 0.500 0.500 0.500
```



Entry 6:
Material: Ba6HgAs2Cl3
Method: DFT, GGA-PBE
State: relaxed

```
data_Ba6HgAs2Cl3
_space_group_name_H-M_alt 'C 1 2/m 1'
_space_group_IT_number 12
_cell_length_a 20.853
_cell_length_b 4.738
_cell_length_c 9.608
_cell_angle_alpha 90.00
_cell_angle_beta 101.96
_cell_angle_gamma 90.00
loop_
_space_group_symop_operation_xyz
'x,y,z'
'-x,-y,-z'
'-x,y,-z'
'x,-y,z'
'x+1/2,y+1/2,z'
'-x+1/2,-y+1/2,-z'
'-x+1/2,y+1/2,-z'
'x+1/2,-y+1/2,z'
loop_
_atom_site_label
_atom_site_fract_x
_atom_site_fract_y
_atom_site_fract_z
Ba1 0.007 0.000 0.259
Ba2 0.167 0.500 0.104
Ba3 0.174 0.500 0.575
Hg1 0.000 0.500 0.000
As1 0.166 0.000 0.338
Cl1 0.000 0.500 0.500
Cl2 0.172 0.000 0.835
```



Entry 7:
Material: Ba6As2ICl3
Method: DFT, GGA-PBE
State: relaxed

```
data_Ba6As2ICl3
_space_group_name_H-M_alt 'C 1 2/m 1'
_space_group_IT_number 12
_cell_length_a 20.418
_cell_length_b 4.751
_cell_length_c 9.454
_cell_angle_alpha 90.00
_cell_angle_beta 101.29
_cell_angle_gamma 90.00
loop_
_space_group_symop_operation_xyz
'x,y,z'
'-x,-y,-z'
'-x,y,-z'
'x,-y,z'
'x+1/2,y+1/2,z'
'-x+1/2,-y+1/2,-z'
'-x+1/2,y+1/2,-z'
'x+1/2,-y+1/2,z'
loop_
_atom_site_label
_atom_site_fract_x
_atom_site_fract_y
_atom_site_fract_z
Ba1 0.007 0.000 0.272
Ba2 0.171 0.500 0.571
Ba3 0.174 0.500 0.106
As1 0.166 0.000 0.330
I1 0.000 0.500 0.000
Cl1 0.000 0.500 0.500
Cl2 0.164 0.000 0.836
```



Entry 8:
Material: Ba6AsI3Cl2
Method: DFT, GGA-PBE
State: relaxed

```
data_Ba6AsI3Cl2
_space_group_name_H-M_alt 'C 1 2/m 1'
_space_group_IT_number 12
_cell_length_a 8.092
_cell_length_b 14.026
_cell_length_c 8.802
_cell_angle_alpha 90.00
_cell_angle_beta 107.83
_cell_angle_gamma 90.00
loop_
_space_group_symop_operation_xyz
'x,y,z'
'-x,-y,-z'
'-x,y,-z'
'x,-y,z'
'x+1/2,y+1/2,z'
'-x+1/2,-y+1/2,-z'
'-x+1/2,y+1/2,-z'
'x+1/2,-y+1/2,z'
loop_
_atom_site_label
_atom_site_fract_x
_atom_site_fract_y
_atom_site_fract_z
Ba1 0.235 0.164 0.212
Ba2 0.245 0.500 0.215
As1 0.000 0.000 0.000
I1 0.000 0.167 0.500
I2 0.000 0.500 0.500
Cl1 0.000 0.333 0.000
```



Entry 9:
Material: Ba4AsI2Cl
Method: DFT, GGA-PBE
State: relaxed

```
data_Ba4AsI2Cl
_space_group_name_H-M_alt 'P 1 2/m 1'
_space_group_IT_number 10
_cell_length_a 8.165
_cell_length_b 4.782
_cell_length_c 8.713
_cell_angle_alpha 90.00
_cell_angle_beta 108.59
_cell_angle_gamma 90.00
loop_
_space_group_symop_operation_xyz
'x,y,z'
'-x,-y,-z'
'-x,y,-z'
'x,-y,z'
loop_
_atom_site_label
_atom_site_fract_x
_atom_site_fract_y
_atom_site_fract_z
Ba1 0.230 0.000 0.212
Ba2 0.251 0.500 0.783
As1 0.000 0.500 0.000
I1 0.000 0.000 0.500
I2 0.500 0.500 0.500
Cl1 0.500 0.000 0.000
```



Entry 10:
Material: Ba4AsICl2
Method: DFT, GGA-PBE
State: relaxed

```
data_Ba4AsICl2
_space_group_name_H-M_alt 'P 1 2/m 1'
_space_group_IT_number 10
_cell_length_a 8.003
_cell_length_b 4.731
_cell_length_c 8.440
_cell_angle_alpha 90.00
_cell_angle_beta 109.51
_cell_angle_gamma 90.00
loop_
_space_group_symop_operation_xyz
'x,y,z'
'-x,-y,-z'
'-x,y,-z'
'x,-y,z'
loop_
_atom_site_label
_atom_site_fract_x
_atom_site_fract_y
_atom_site_fract_z
Ba1 0.242 0.000 0.222
Ba2 0.257 0.500 0.775
As1 0.500 0.000 0.000
I1 0.500 0.500 0.500
Cl1 0.000 0.000 0.500
Cl2 0.000 0.500 0.000
```



Entry 11:
Material: Ba2InAsCl
Method: DFT, GGA-PBE
State: relaxed

```
data_Ba2InAsCl
_space_group_name_H-M_alt 'P 4/m m m'
_space_group_IT_number 123
_space_group_name_Hall '-P 4 2'
_cell_length_a 6.598
_cell_length_b 6.598
_cell_length_c 5.143
_cell_angle_alpha 90.00
_cell_angle_beta 90.00
_cell_angle_gamma 90.00
loop_
_atom_site_label
_atom_site_fract_x
_atom_site_fract_y
_atom_site_fract_z
Ba1 0.000 0.500 0.000
In1 0.000 0.000 0.000
As1 0.000 0.000 0.500
Cl1 0.500 0.500 0.500
```



Entry 12:
Material: BaLiAsCl6
Method: DFT, GGA-PBE
State: relaxed

```
data_BaLiAsCl6
_space_group_name_H-M_alt 'P 3 1 2'
_space_group_IT_number 149
_cell_length_a 6.6800
_cell_length_b 6.6800
_cell_length_c 6.6688
_cell_angle_alpha 90.00
_cell_angle_beta 90.00
_cell_angle_gamma 120.00
loop_
_space_group_symop_operation_xyz
'x,y,z'
'-y,x-y,z'
'-x+y,-x,z'
'-y,-x,-z'
'-x+y,y,-z'
'x,x-y,-z'
loop_
_atom_site_label
_atom_site_fract_x
_atom_site_fract_y
_atom_site_fract_z
Ba1 0.0000 0.0000 0.0000
Li1 0.3333 0.6667 0.5000
As1 0.6667 0.3333 0.5000
Cl1 0.3754 0.0078 0.7169
```



Entry 13:
Material: BaMn2AsCl
Method: DFT, GGA-PBE
State: relaxed

```
data_BaMn2AsCl
_space_group_name_H-M_alt 'P 4/m m m'
_space_group_IT_number 123
_space_group_name_Hall '-P 4 2'
_cell_length_a 4.641
_cell_length_b 4.641
_cell_length_c 7.199
_cell_angle_alpha 90.00
_cell_angle_beta 90.00
_cell_angle_gamma 90.00
loop_
_atom_site_label
_atom_site_fract_x
_atom_site_fract_y
_atom_site_fract_z
Ba1 0.000 0.000 0.000
Mn1 0.000 0.500 0.500
As1 0.500 0.500 0.500
Cl1 0.500 0.500 0.000
```



Entry 14:
Material: Ba6As2NCl
Method: DFT, GGA-PBE
State: relaxed

```
data_Ba6As2NCl
_space_group_name_H-M_alt 'P 1 21/c 1'
_space_group_IT_number 14
_cell_length_a 7.507
_cell_length_b 8.713
_cell_length_c 13.223
_cell_angle_alpha 90.00
_cell_angle_beta 123.55
_cell_angle_gamma 90.00
loop_
_space_group_symop_operation_xyz
'x,y,z'
'-x,-y,-z'
'-x,y+1/2,-z+1/2'
'x,-y+1/2,z+1/2'
loop_
_atom_site_label
_atom_site_fract_x
_atom_site_fract_y
_atom_site_fract_z
Ba1 0.096 0.038 0.231
Ba2 0.216 0.711 0.063
Ba3 0.372 0.163 0.066
As1 0.306 0.112 0.748
N1 0.000 0.000 0.000
Cl1 0.500 0.000 0.500
```



Entry 15:
Material: Ba6As2NCl2
Method: DFT, GGA-PBE
State: relaxed

```
data_Ba6As2NCl2
_space_group_name_H-M_alt 'C 1 2/m 1'
_space_group_IT_number 12
_cell_length_a 7.971
_cell_length_b 13.696
_cell_length_c 8.109
_cell_angle_alpha 90.00
_cell_angle_beta 109.98
_cell_angle_gamma 90.00
loop_
_space_group_symop_operation_xyz
'x,y,z'
'-x,-y,-z'
'-x,y,-z'
'x,-y,z'
'x+1/2,y+1/2,z'
'-x+1/2,-y+1/2,-z'
'-x+1/2,y+1/2,-z'
'x+1/2,-y+1/2,z'
loop_
_atom_site_label
_atom_site_fract_x
_atom_site_fract_y
_atom_site_fract_z
Ba1 0.222 0.000 0.293
Ba2 0.226 0.152 0.718
As1 0.000 0.332 0.500
N1 0.000 0.000 0.500
Cl1 0.000 0.167 0.000
```



Entry 16:
Material: Ba5As2NCl
Method: DFT, GGA-PBE
State: relaxed

```
data_Ba5As2NCl
_space_group_name_H-M_alt 'I m m m'
_space_group_IT_number 71
_space_group_name_Hall '-I 2 2'
_cell_length_a 5.281
_cell_length_b 8.039
_cell_length_c 16.158
_cell_angle_alpha 90.00
_cell_angle_beta 90.00
_cell_angle_gamma 90.00
loop_
_atom_site_label
_atom_site_fract_x
_atom_site_fract_y
_atom_site_fract_z
Ba1 0.000 0.000 0.000
Ba2 0.000 0.269 0.361
As1 0.000 0.000 0.204
N1 0.000 0.500 0.500
Cl1 0.000 0.500 0.000
```



Entry 17:
Material: BaNaAs2Cl
Method: DFT, GGA-PBE
State: relaxed

```
data_BaNaAs2Cl
_space_group_name_H-M_alt 'P 4/m m m'
_space_group_IT_number 123
_space_group_name_Hall '-P 4 2'
_cell_length_a 6.483
_cell_length_b 6.483
_cell_length_c 5.915
_cell_angle_alpha 90.00
_cell_angle_beta 90.00
_cell_angle_gamma 90.00
loop_
_atom_site_label
_atom_site_fract_x
_atom_site_fract_y
_atom_site_fract_z
Ba1 0.000 0.000 0.000
Na1 0.500 0.500 0.500
As1 0.000 0.500 0.000
Cl1 0.000 0.000 0.500
```



Entry 18:
Material: Ba2NdAs2Cl2
Method: DFT, GGA-PBE
State: relaxed

```
data_Ba2NdAs2Cl2
_space_group_name_H-M_alt 'I 4/m m m'
_space_group_IT_number 139
_space_group_name_Hall '-I 4 2'
_cell_length_a 5.669
_cell_length_b 5.669
_cell_length_c 15.985
_cell_angle_alpha 90.00
_cell_angle_beta 90.00
_cell_angle_gamma 90.00
loop_
_atom_site_label
_atom_site_fract_x
_atom_site_fract_y
_atom_site_fract_z
Ba1 0.000 0.000 0.125
Nd1 0.000 0.000 0.500
As1 0.000 0.500 0.000
Cl1 0.000 0.000 0.317
```



Entry 19:
Material: Ba8As3Cl4O
Method: DFT, GGA-PBE
State: relaxed

```
data_Ba8As3Cl4O
_space_group_name_H-M_alt 'C 1 2/m 1'
_space_group_IT_number 12
_cell_length_a 15.961
_cell_length_b 9.155
_cell_length_c 9.321
_cell_angle_alpha 90.00
_cell_angle_beta 124.86
_cell_angle_gamma 90.00
loop_
_space_group_symop_operation_xyz
'x,y,z'
'-x,-y,-z'
'-x,y,-z'
'x,-y,z'
'x+1/2,y+1/2,z'
'-x+1/2,-y+1/2,-z'
'-x+1/2,y+1/2,-z'
'x+1/2,-y+1/2,z'
loop_
_atom_site_label
_atom_site_fract_x
_atom_site_fract_y
_atom_site_fract_z
Ba1 0.006 0.228 0.290
Ba2 0.245 0.500 0.735
Ba3 0.247 0.000 0.734
As1 0.000 0.500 0.500
As2 0.250 0.250 0.500
Cl1 0.000 0.000 0.000
Cl2 0.000 0.500 0.000
Cl3 0.250 0.250 0.000
O1 0.000 0.000 0.500
```



Entry 20:
Material: Ba3Sr2As3ClO12
Method: DFT, GGA-PBE
State: relaxed

```
data_Ba3Sr2As3ClO12
_space_group_name_H-M_alt 'P 63/m'
_space_group_IT_number 176
_space_group_name_Hall '-P 6c'
_cell_length_a 10.6166
_cell_length_b 10.6166
_cell_length_c 7.6503
_cell_angle_alpha 90.00
_cell_angle_beta 90.00
_cell_angle_gamma 120.00
loop_
_atom_site_label
_atom_site_fract_x
_atom_site_fract_y
_atom_site_fract_z
Ba1 0.0039 0.7498 0.2500
Sr1 0.3333 0.6667 0.0017
As1 0.0354 0.6191 0.7500
Cl1 0.0000 0.0000 0.0000
O1 0.0891 0.7309 0.5696
O2 0.1404 0.5361 0.7500
O3 0.1485 0.5058 0.2500
```



Record order is preserved below.
VASP energy: -16.75 -98.20 -31.98 -192.58 -18.67 -88.63 -95.33 -85.63 -29.42 -30.51 -15.97 -33.16 -27.97 -82.46 -94.23 -76.70 -14.85 -65.12 -139.99 -266.32 eV/cell